[1]
The following is a DFT calculation (PBE-GGA) of crystalline MnIn4Rh5 at its relaxed geometry.

Cell and atoms, written as POSCAR:
```
MnIn4Rh5
1.0
3.2083 0.0000 0.0000
0.0000 3.2083 0.0000
0.0000 0.0000 15.9327
Mn In Rh
1 4 5
Direct
0.0000 0.0000 0.0000
0.0000 0.0000 0.1914
0.0000 0.0000 0.3974
0.0000 0.0000 0.6026
0.0000 0.0000 0.8086
0.5000 0.5000 0.0924
0.5000 0.5000 0.2962
0.5000 0.5000 0.5000
0.5000 0.5000 0.7038
0.5000 0.5000 0.9076
```

Computed properties:
calculated formation energy: -0.381 eV per atom
calculated volume: 16.40 Å³/atom
SG: P4/mmm
electronic total energy: -60.695 eV for the cell shown

---

[2]
The following is a DFT calculation (PBE-GGA) of crystalline Nd2MnNi at its relaxed geometry.

Cell and atoms, written as POSCAR:
```
Nd2MnNi
1.0
1.8220 1.0519 9.6860
-1.8220 1.0519 9.6860
0.0000 -2.1039 9.6860
Nd Mn Ni
2 1 1
Direct
0.1052 0.1052 0.1052
0.8948 0.8948 0.8948
0.0000 0.0000 0.0000
0.5000 0.5000 0.5000
```

Computed properties:
calculated formation energy: 0.537 eV per atom
calculated volume: 27.85 Å³/atom
SG: R-3m
electronic total energy: -22.340 eV for the cell shown

---

[3]
The following is a DFT calculation (PBE-GGA) of crystalline PmSnBiPd at its relaxed geometry.

Cell and atoms, written as POSCAR:
```
PmSnBiPd
1.0
0.0000 3.7158 3.7158
3.7158 0.0000 3.7158
3.7158 3.7158 0.0000
Pm Sn Bi Pd
1 1 1 1
Direct
0.0000 0.0000 0.0000
0.2500 0.2500 0.2500
0.5000 0.5000 0.5000
0.7500 0.7500 0.7500
```

Computed properties:
calculated formation energy: -0.391 eV per atom
calculated volume: 25.65 Å³/atom
SG: F-43m
electronic total energy: -19.393 eV for the cell shown

---

[4]
The following is a DFT calculation (PBE-GGA) of crystalline DyInS2 at its relaxed geometry.

Cell and atoms, written as POSCAR:
```
DyInS2
1.0
1.9915 1.1498 7.6084
-1.9915 1.1498 7.6084
0.0000 -2.2995 7.6084
Dy In S
1 1 2
Direct
0.0000 0.0000 0.0000
0.1707 0.1707 0.1707
0.3980 0.3980 0.3980
0.5986 0.5986 0.5986
```

Computed properties:
calculated volume: 26.13 Å³/atom
formation energy from raw total energies: -1387.3 meV per atom
SG: R3m
electronic total energy: -21.145 eV for the cell shown

---

[5]
The following is a DFT calculation (PBE-GGA) of crystalline Ac2Nd8Tm at its relaxed geometry.

Cell and atoms, written as POSCAR:
```
Ac2Nd8Tm
1.0
7.3924 -3.4998 0.0000
7.3924 3.4998 0.0000
-2.1007 0.0000 7.8683
Ac Nd Tm
2 8 1
Direct
0.1734 0.1734 0.2542
0.8266 0.8266 0.7458
0.1948 0.6661 0.1441
0.2567 0.2567 0.8067
0.3339 0.8052 0.8559
0.3941 0.3941 0.5294
0.6059 0.6059 0.4706
0.6661 0.1948 0.1441
0.7433 0.7433 0.1933
0.8052 0.3339 0.8559
0.0000 0.0000 0.5000
```

Computed properties:
calculated formation energy: 0.159 eV per atom
calculated volume: 37.01 Å³/atom
SG: C2/m
electronic total energy: -49.079 eV for the cell shown
E above lowest polymorph: 0 meV per atom

---

[6]
The following is a DFT calculation (PBE-GGA) of crystalline ZnGaSb2 at its relaxed geometry.

Cell and atoms, written as POSCAR:
```
ZnGaSb2
1.0
7.7796 0.0000 0.0000
0.0000 4.3701 0.0000
0.0000 0.0000 12.7083
Zn Ga Sb
4 4 8
Direct
0.1711 0.2500 0.1511
0.3289 0.7500 0.6511
0.6711 0.2500 0.3489
0.8289 0.7500 0.8489
0.2016 0.7500 0.4454
0.2984 0.2500 0.9454
0.7016 0.7500 0.0546
0.7984 0.2500 0.5546
0.1368 0.2500 0.6150
0.1647 0.7500 0.8405
0.3353 0.2500 0.3405
0.3632 0.7500 0.1150
0.6368 0.2500 0.8850
0.6647 0.7500 0.6595
0.8353 0.2500 0.1595
0.8632 0.7500 0.3850
```

Computed properties:
calculated volume: 27.00 Å³/atom
formation energy from raw total energies: 72.0 meV per atom
SG: Pnma
electronic total energy: -49.031 eV for the cell shown
E above lowest polymorph: 102 meV per atom

---

[7]
The following is a DFT calculation (PBE-GGA) of crystalline ReMoIr2 at its relaxed geometry.

Cell and atoms, written as POSCAR:
```
ReMoIr2
1.0
4.7983 -2.7473 0.0000
4.7983 2.7473 0.0000
-1.6581 0.0000 4.5007
Re Mo Ir
2 2 4
Direct
0.1238 0.1238 0.2466
0.8762 0.8762 0.7534
0.3719 0.3719 0.7425
0.6281 0.6281 0.2575
0.1233 0.6265 0.2498
0.3735 0.8767 0.7502
0.6265 0.1233 0.2498
0.8767 0.3735 0.7502
```

Computed properties:
calculated formation energy: -0.232 eV per atom
calculated volume: 14.83 Å³/atom
SG: C2/m
electronic total energy: -83.862 eV for the cell shown
E above lowest polymorph: 97 meV per atom

---

[8]
The following is a DFT calculation (PBE-GGA) of crystalline NbCrCd2 at its relaxed geometry.

Cell and atoms, written as POSCAR:
```
NbCrCd2
1.0
0.0000 3.3519 3.3519
3.3519 0.0000 3.3519
3.3519 3.3519 0.0000
Nb Cr Cd
1 1 2
Direct
0.0000 0.0000 0.0000
0.5000 0.5000 0.5000
0.2500 0.2500 0.2500
0.7500 0.7500 0.7500
```

Computed properties:
calculated formation energy: 0.491 eV per atom
calculated volume: 18.83 Å³/atom
SG: Fm-3m
electronic total energy: -19.560 eV for the cell shown
E above lowest polymorph: 0 meV per atom

---

[9]
The following is a DFT calculation (PBE-GGA) of crystalline Y5Er2Sb4 at its relaxed geometry.

Cell and atoms, written as POSCAR:
```
Y5Er2Sb4
1.0
12.5337 -2.0649 0.0000
12.5337 2.0649 0.0000
-0.8526 0.0000 6.9576
Y Er Sb
5 2 4
Direct
0.0000 0.0000 0.0000
0.3500 0.3500 0.7565
0.4118 0.4118 0.2828
0.5882 0.5882 0.7172
0.6500 0.6500 0.2435
0.2667 0.2667 0.2881
0.7333 0.7333 0.7119
0.1685 0.1685 0.9334
0.4648 0.4648 0.6954
0.5352 0.5352 0.3046
0.8315 0.8315 0.0666
```

Computed properties:
calculated volume: 32.74 Å³/atom
formation energy from raw total energies: -502.9 meV per atom
SG: C2/m
electronic total energy: -63.467 eV for the cell shown

---

[10]
The following is a DFT calculation (PBE-GGA) of crystalline Zr3Ag3C at its relaxed geometry.

Cell and atoms, written as POSCAR:
```
Zr3Ag3C
1.0
0.0000 6.3104 6.3104
6.3104 0.0000 6.3104
6.3104 6.3104 0.0000
Zr Ag C
12 12 4
Direct
0.0595 0.0595 0.6905
0.0595 0.6905 0.0595
0.0595 0.6905 0.6905
0.3095 0.3095 0.9405
0.3095 0.9405 0.3095
0.3095 0.9405 0.9405
0.6905 0.0595 0.0595
0.6905 0.0595 0.6905
0.6905 0.6905 0.0595
0.9405 0.3095 0.3095
0.9405 0.3095 0.9405
0.9405 0.9405 0.3095
0.0000 0.5000 0.5000
0.2890 0.2890 0.2890
0.2890 0.2890 0.6331
0.2890 0.6331 0.2890
0.3669 0.7110 0.7110
0.5000 0.0000 0.5000
0.5000 0.5000 0.0000
0.5000 0.5000 0.5000
0.6331 0.2890 0.2890
0.7110 0.3669 0.7110
0.7110 0.7110 0.3669
0.7110 0.7110 0.7110
0.0000 0.0000 0.0000
0.0000 0.0000 0.5000
0.0000 0.5000 0.0000
0.5000 0.0000 0.0000
```

Computed properties:
calculated formation energy: -0.280 eV per atom
calculated volume: 17.95 Å³/atom
SG: Fd-3m
electronic total energy: -181.536 eV for the cell shown

---

[11]
The following is a DFT calculation (PBE-GGA) of crystalline Ce3Tl3InS8 at its relaxed geometry.

Cell and atoms, written as POSCAR:
```
Ce3Tl3InS8
1.0
4.0924 2.3628 7.5488
-4.0924 2.3628 7.5488
0.0000 -4.7255 7.5488
Ce Tl In S
3 3 1 8
Direct
0.0000 0.5000 0.5000
0.5000 0.0000 0.5000
0.5000 0.5000 0.0000
0.0000 0.0000 0.5000
0.0000 0.5000 0.0000
0.5000 0.0000 0.0000
0.0000 0.0000 0.0000
0.2260 0.2260 0.7424
0.2260 0.7424 0.2260
0.2576 0.7740 0.7740
0.2661 0.2661 0.2661
0.7339 0.7339 0.7339
0.7424 0.2260 0.2260
0.7740 0.2576 0.7740
0.7740 0.7740 0.2576
```

Computed properties:
calculated volume: 29.20 Å³/atom
formation energy from raw total energies: -1232.8 meV per atom
SG: R-3m
electronic total energy: -79.150 eV for the cell shown

---

Which of these has the lowest calculated volume?
ReMoIr2